Material: KVW2
Method: DFT, PBE
State: optimized geometry

Calculated values
energy of formation from the pure elements	1837	meV per atom
E above lowest polymorph	0.0	meV per atom
total magnetic moment	0.00	μB per cell
total DFT energy (no corrections)	-7.1939	eV per atom

CIF file:
```
data_KVW2
_cell_length_a 6.528
_cell_length_b 6.528
_cell_length_c 6.528
_cell_angle_alpha 90.00
_cell_angle_beta 90.00
_cell_angle_gamma 90.00
_space_group_name_H-M_alt 'F m -3 m'
_space_group_IT_number 225
_space_group_name_Hall '-F 4 2 3'
loop_
_atom_site_label
_atom_site_type_symbol
_atom_site_fract_x
_atom_site_fract_y
_atom_site_fract_z
K1 K 0.000 0.000 0.000
V1 V 0.000 0.000 0.500
W1 W 0.250 0.250 0.250
```

---

Material: KV3W
Method: DFT, PBE
State: optimized geometry

Calculated values
energy of formation from the pure elements	1475	meV per atom
E above lowest polymorph	0.0	meV per atom
total magnetic moment	5.25	μB per cell
total DFT energy (no corrections)	-6.8063	eV per atom

CIF file:
```
data_KV3W
_cell_length_a 4.890
_cell_length_b 4.890
_cell_length_c 4.890
_cell_angle_alpha 90.00
_cell_angle_beta 90.00
_cell_angle_gamma 90.00
_space_group_name_H-M_alt 'P m -3 m'
_space_group_IT_number 221
_space_group_name_Hall '-P 4 2 3'
loop_
_atom_site_label
_atom_site_type_symbol
_atom_site_fract_x
_atom_site_fract_y
_atom_site_fract_z
K1 K 0.000 0.000 0.000
V1 V 0.000 0.500 0.500
W1 W 0.500 0.500 0.500
```

---

Material: KVW2
Method: DFT, PBE
State: optimized geometry

Calculated values
energy of formation from the pure elements	2035	meV per atom
E above lowest polymorph	198.6	meV per atom
total magnetic moment	4.67	μB per cell
total DFT energy (no corrections)	-6.9953	eV per atom

CIF file:
```
data_KVW2
_cell_length_a 4.695
_cell_length_b 4.695
_cell_length_c 18.222
_cell_angle_alpha 90.00
_cell_angle_beta 90.00
_cell_angle_gamma 90.00
_space_group_name_H-M_alt 'I -4 2 d'
_space_group_IT_number 122
_space_group_name_Hall 'I -4 2bw'
loop_
_atom_site_label
_atom_site_type_symbol
_atom_site_fract_x
_atom_site_fract_y
_atom_site_fract_z
K1 K 0.000 0.000 0.000
V1 V 0.000 0.000 0.500
W1 W 0.088 0.750 0.625
```

---

Material: K3VW
Method: DFT, PBE
State: optimized geometry

Calculated values
energy of formation from the pure elements	2148	meV per atom
total magnetic moment	10.01	μB per cell
total DFT energy (no corrections)	-2.9251	eV per atom

CIF file:
```
data_K3VW
_cell_length_a 6.417
_cell_length_b 6.417
_cell_length_c 6.417
_cell_angle_alpha 90.00
_cell_angle_beta 90.00
_cell_angle_gamma 90.00
_space_group_name_H-M_alt 'P m -3 m'
_space_group_IT_number 221
_space_group_name_Hall '-P 4 2 3'
loop_
_atom_site_label
_atom_site_type_symbol
_atom_site_fract_x
_atom_site_fract_y
_atom_site_fract_z
K1 K 0.000 0.000 0.500
V1 V 0.000 0.000 0.000
W1 W 0.500 0.500 0.500
```

---

The highest total DFT energy (no corrections) belongs to which entry?
K3VW

---

Number 4 is which compound?
K3VW

---

What is the total DFT energy (no corrections) in the first record?
-7.1939 eV per atom

---

Which value of total magnetic moment does entry 4 give?
10.01 μB per cell